# 1
Here is crystalline Cu2ReMo at its relaxed geometry from Alexandria. Energies are from PBE-GGA.

## Properties
- E_form: 253 meV/atom
- E above lowest polymorph: 1.56 kcal/mol of atoms
- Space group: I-4m2 (119)

Cell lengths 4.6700, 4.6700, 4.6700 Å; angles 132.06, 132.06, 70.13 degrees
Fractional coordinates of all 4 atoms:
Cu 0.0000 0.0000 0.0000
Cu 0.7500 0.2500 0.5000
Re 0.5000 0.5000 0.0000
Mo 0.2500 0.7500 0.5000

---

# 2
Here is crystalline CuReMo2 at its relaxed geometry from Alexandria. Energies are from PBE-GGA.

## Properties
- E_form: 279 meV/atom
- E above lowest polymorph: 2.39 kcal/mol of atoms
- Space group: Fm-3m (225)

Cell lengths 4.3874, 4.3874, 4.3874 Å; angles 60.00, 60.00, 60.00 degrees
Fractional coordinates of all 4 atoms:
Cu 0.0000 0.0000 0.0000
Re 0.5000 0.5000 0.5000
Mo 0.2500 0.2500 0.2500
Mo 0.7500 0.7500 0.7500

---

# 3
Here is crystalline ScCuReMo2 at its relaxed geometry from Alexandria. Energies are from PBE-GGA.

## Properties
- E_form: 1486 meV/atom
- Space group: P4/mmm (123)

Cell lengths 4.5406, 4.5406, 4.4546 Å; angles 90.00, 90.00, 90.00 degrees
Fractional coordinates of all 5 atoms:
Sc 0.0000 0.0000 0.0000
Cu 0.0000 0.0000 0.5000
Re 0.5000 0.5000 0.0000
Mo 0.0000 0.5000 0.5000
Mo 0.5000 0.0000 0.5000

---

What did the second record say?
Here is crystalline CuReMo2 at its relaxed geometry from Alexandria. Energies are from PBE-GGA.

## Properties
- E_form: 279 meV/atom
- E above lowest polymorph: 2.39 kcal/mol of atoms
- Space group: Fm-3m (225)

Cell lengths 4.3874, 4.3874, 4.3874 Å; angles 60.00, 60.00, 60.00 degrees
Fractional coordinates of all 4 atoms:
Cu 0.0000 0.0000 0.0000
Re 0.5000 0.5000 0.5000
Mo 0.2500 0.2500 0.2500
Mo 0.7500 0.7500 0.7500